Entry 1:
# CaAg2 | Alexandria via LeMat-Bulk | PBEsol | optimized geometry
data_CaAg2
_chemical_formula_sum 'Ca4 Ag8'
_symmetry_space_group_name_H-M 'I m m a'
_symmetry_Int_Tables_number 74
_symmetry_space_group_name_Hall '-I 2b 2'
_cell_length_a 4.592
_cell_length_b 7.106
_cell_length_c 8.122
_cell_angle_alpha 90.00
_cell_angle_beta 90.00
_cell_angle_gamma 90.00
loop_
_atom_site_label
_atom_site_type_symbol
_atom_site_fract_x
_atom_site_fract_y
_atom_site_fract_z
Ca1 Ca 0.000 0.250 0.046
Ag1 Ag 0.000 0.050 0.661
# Fermi-level density of states   4.51 states/eV per cell
# DFT formation energy   -0.27 eV per atom
# Calculated total energy   -3.19 eV/atom
# Total magnetization   0.00 μB per cell
# Volume   22.09 Å³/atom

***

Entry 2:
# Ca2Ag7 | Alexandria via LeMat-Bulk | PBEsol | optimized geometry
data_Ca2Ag7
_chemical_formula_sum 'Ca8 Ag28'
_symmetry_space_group_name_H-M 'C m c m'
_symmetry_Int_Tables_number 63
_symmetry_space_group_name_Hall '-C 2c 2'
_cell_length_a 9.324
_cell_length_b 5.463
_cell_length_c 13.859
_cell_angle_alpha 90.00
_cell_angle_beta 90.00
_cell_angle_gamma 90.00
loop_
_atom_site_label
_atom_site_type_symbol
_atom_site_fract_x
_atom_site_fract_y
_atom_site_fract_z
Ca1 Ca 0.000 0.177 0.115
Ag1 Ag 0.000 0.327 0.750
Ag2 Ag 0.164 0.329 0.576
Ag3 Ag 0.249 0.077 0.750
# Fermi-level density of states   12.62 states/eV per cell
# DFT formation energy   -0.23 eV per atom
# Calculated total energy   -3.28 eV/atom
# Total magnetization   0.00 μB per cell
# Volume   19.61 Å³/atom

***

Entry 3:
# CaAg3 | Alexandria via LeMat-Bulk | PBEsol | optimized geometry
data_CaAg3
_chemical_formula_sum 'Ca2 Ag6'
_symmetry_space_group_name_H-M 'I 4/m m m'
_symmetry_Int_Tables_number 139
_symmetry_space_group_name_Hall '-I 4 2'
_cell_length_a 4.312
_cell_length_b 4.312
_cell_length_c 8.321
_cell_angle_alpha 90.00
_cell_angle_beta 90.00
_cell_angle_gamma 90.00
loop_
_atom_site_label
_atom_site_type_symbol
_atom_site_fract_x
_atom_site_fract_y
_atom_site_fract_z
Ca1 Ca 0.000 0.000 0.000
Ag1 Ag 0.000 0.000 0.500
Ag2 Ag 0.000 0.500 0.250
# Fermi-level density of states   3.01 states/eV per cell
# DFT formation energy   -0.17 eV per atom
# Calculated total energy   -3.19 eV/atom
# Total magnetization   0.00 μB per cell
# Volume   19.34 Å³/atom

***

Entry 4:
# CaAg3 | Alexandria via LeMat-Bulk | PBEsol | optimized geometry
data_CaAg3
_chemical_formula_sum 'Ca4 Ag12'
_symmetry_space_group_name_H-M 'I 4/m m m'
_symmetry_Int_Tables_number 139
_symmetry_space_group_name_Hall '-I 4 2'
_cell_length_a 4.308
_cell_length_b 4.308
_cell_length_c 16.682
_cell_angle_alpha 90.00
_cell_angle_beta 90.00
_cell_angle_gamma 90.00
loop_
_atom_site_label
_atom_site_type_symbol
_atom_site_fract_x
_atom_site_fract_y
_atom_site_fract_z
Ca1 Ca 0.000 0.000 0.126
Ag1 Ag 0.000 0.000 0.376
Ag2 Ag 0.000 0.500 0.000
Ag3 Ag 0.000 0.500 0.250
# Fermi-level density of states   6.10 states/eV per cell
# DFT formation energy   -0.15 eV per atom
# Calculated total energy   -3.17 eV/atom
# Total magnetization   0.00 μB per cell
# Volume   19.35 Å³/atom

***

Entry 5:
# Ca2CdAg | Alexandria via LeMat-Bulk | PBEsol | optimized geometry
data_Ca2CdAg
_chemical_formula_sum 'Ca4 Cd2 Ag2'
_symmetry_space_group_name_H-M 'A m m 2'
_symmetry_Int_Tables_number 38
_symmetry_space_group_name_Hall 'A 2 -2'
_cell_length_a 4.753
_cell_length_b 3.963
_cell_length_c 11.463
_cell_angle_alpha 90.00
_cell_angle_beta 90.00
_cell_angle_gamma 90.00
loop_
_atom_site_label
_atom_site_type_symbol
_atom_site_fract_x
_atom_site_fract_y
_atom_site_fract_z
Ca1 Ca 0.000 0.000 0.000
Ca2 Ca 0.500 0.000 0.291
Cd1 Cd 0.000 0.000 0.717
Ag1 Ag 0.500 0.000 0.574
# Fermi-level density of states   5.29 states/eV per cell
# DFT formation energy   -0.30 eV per atom
# Calculated total energy   -2.49 eV/atom
# Total magnetization   0.00 μB per cell
# Volume   27.00 Å³/atom

***

Entry 6:
# CaCd2Ag2 | Alexandria via LeMat-Bulk | PBEsol | optimized geometry
data_CaCd2Ag2
_chemical_formula_sum 'Ca2 Cd4 Ag4'
_symmetry_space_group_name_H-M 'I 4/m m m'
_symmetry_Int_Tables_number 139
_symmetry_space_group_name_Hall '-I 4 2'
_cell_length_a 4.181
_cell_length_b 4.181
_cell_length_c 12.778
_cell_angle_alpha 90.00
_cell_angle_beta 90.00
_cell_angle_gamma 90.00
loop_
_atom_site_label
_atom_site_type_symbol
_atom_site_fract_x
_atom_site_fract_y
_atom_site_fract_z
Ca1 Ca 0.000 0.000 0.000
Cd1 Cd 0.000 0.000 0.392
Ag1 Ag 0.000 0.500 0.250
# Fermi-level density of states   4.74 states/eV per cell
# DFT formation energy   -0.14 eV per atom
# Calculated total energy   -2.37 eV/atom
# Total magnetization   0.00 μB per cell
# Energy above the most stable polymorph in this dataset   12 meV per atom
# Volume   22.34 Å³/atom

***

Entry 7:
# Ca2CdAg | Alexandria via LeMat-Bulk | PBEsol | optimized geometry
data_Ca2CdAg
_chemical_formula_sum 'Ca2 Cd1 Ag1'
_symmetry_space_group_name_H-M 'P 4/m m m'
_symmetry_Int_Tables_number 123
_symmetry_space_group_name_Hall '-P 4 2'
_cell_length_a 3.713
_cell_length_b 3.713
_cell_length_c 7.346
_cell_angle_alpha 90.00
_cell_angle_beta 90.00
_cell_angle_gamma 90.00
loop_
_atom_site_label
_atom_site_type_symbol
_atom_site_fract_x
_atom_site_fract_y
_atom_site_fract_z
Ca1 Ca 0.000 0.000 0.242
Cd1 Cd 0.500 0.500 0.500
Ag1 Ag 0.500 0.500 0.000
# Fermi-level density of states   3.18 states/eV per cell
# DFT formation energy   -0.31 eV per atom
# Calculated total energy   -2.51 eV/atom
# Total magnetization   0.00 μB per cell
# Volume   25.32 Å³/atom

***

Entry 8:
# CaCd2Ag2 | Alexandria via LeMat-Bulk | PBEsol | optimized geometry
data_CaCd2Ag2
_chemical_formula_sum 'Ca2 Cd4 Ag4'
_symmetry_space_group_name_H-M 'P 4/m b m'
_symmetry_Int_Tables_number 127
_symmetry_space_group_name_Hall '-P 4 2ab'
_cell_length_a 8.053
_cell_length_b 8.053
_cell_length_c 3.199
_cell_angle_alpha 90.00
_cell_angle_beta 90.00
_cell_angle_gamma 90.00
loop_
_atom_site_label
_atom_site_type_symbol
_atom_site_fract_x
_atom_site_fract_y
_atom_site_fract_z
Ca1 Ca 0.000 0.000 0.000
Cd1 Cd 0.126 0.374 0.000
Ag1 Ag 0.172 0.672 0.500
# Fermi-level density of states   3.66 states/eV per cell
# DFT formation energy   -0.16 eV per atom
# Calculated total energy   -2.39 eV/atom
# Total magnetization   0.00 μB per cell
# Energy above the most stable polymorph in this dataset   0 meV per atom
# Volume   20.75 Å³/atom

***

Entry 9:
# Ca2CdAg | Alexandria via LeMat-Bulk | PBEsol | optimized geometry
data_Ca2CdAg
_chemical_formula_sum 'Ca4 Cd2 Ag2'
_symmetry_space_group_name_H-M 'I m m 2'
_symmetry_Int_Tables_number 44
_symmetry_space_group_name_Hall 'I 2 -2'
_cell_length_a 3.594
_cell_length_b 5.240
_cell_length_c 10.966
_cell_angle_alpha 90.00
_cell_angle_beta 90.00
_cell_angle_gamma 90.00
loop_
_atom_site_label
_atom_site_type_symbol
_atom_site_fract_x
_atom_site_fract_y
_atom_site_fract_z
Ca1 Ca 0.000 0.000 0.000
Ca2 Ca 0.000 0.500 0.204
Cd1 Cd 0.000 0.000 0.439
Ag1 Ag 0.000 0.500 0.740
# Fermi-level density of states   6.25 states/eV per cell
# DFT formation energy   -0.24 eV per atom
# Calculated total energy   -2.43 eV/atom
# Total magnetization   0.00 μB per cell
# Volume   25.82 Å³/atom

***

Entry 10:
# Ca2CdAg2 | Alexandria via LeMat-Bulk | PBEsol | optimized geometry
data_Ca2CdAg2
_chemical_formula_sum 'Ca4 Cd2 Ag4'
_symmetry_space_group_name_H-M 'P 4/m b m'
_symmetry_Int_Tables_number 127
_symmetry_space_group_name_Hall '-P 4 2ab'
_cell_length_a 7.735
_cell_length_b 7.735
_cell_length_c 4.032
_cell_angle_alpha 90.00
_cell_angle_beta 90.00
_cell_angle_gamma 90.00
loop_
_atom_site_label
_atom_site_type_symbol
_atom_site_fract_x
_atom_site_fract_y
_atom_site_fract_z
Ca1 Ca 0.174 0.326 0.000
Cd1 Cd 0.000 0.000 0.500
Ag1 Ag 0.126 0.626 0.500
# Fermi-level density of states   4.35 states/eV per cell
# DFT formation energy   -0.30 eV per atom
# Calculated total energy   -2.72 eV/atom
# Total magnetization   0.00 μB per cell
# Volume   24.12 Å³/atom

***

What is the formula in the fourth record? CaAg3